Record 1
Here is a geometry-optimized Al2ZnSb structure from OQMD. Energies are from PBE-GGA.

Unit cell a=4.8423 b=4.8423 c=4.8423 alpha=60.00 beta=60.00 gamma=60.00
Positions (direct):
Zn 0.2500 0.2500 0.2500
Sb 0.5000 0.5000 0.5000
Al 0.7500 0.7500 0.7500
Al 0.0000 0.0000 0.0000

VASP energy = -0.1095 hartree per atom
symmetry = No. 216

Record 2
Here is a geometry-optimized AlZnSb structure from OQMD. Energies are from PBE-GGA.

Unit cell a=4.7349 b=4.7349 c=4.7349 alpha=60.00 beta=60.00 gamma=60.00
Positions (direct):
Al 0.0000 0.0000 0.0000
Zn 0.5000 0.5000 0.5000
Sb 0.7500 0.7500 0.7500

VASP energy = -0.1032 hartree per atom
relative energy among the computed polymorphs = 158 meV/atom
symmetry = No. 216

Record 3
Here is a geometry-optimized AlZnSb structure from OQMD. Energies are from PBE-GGA.

Unit cell a=4.6310 b=4.6310 c=4.6310 alpha=60.00 beta=60.00 gamma=60.00
Positions (direct):
Sb 0.2500 0.2500 0.2500
Zn 0.7500 0.7500 0.7500
Al 0.0000 0.0000 0.0000

VASP energy = -0.1074 hartree per atom
relative energy among the computed polymorphs = 43 meV/atom
symmetry = No. 216

Record 4
Here is a geometry-optimized AlZnSb structure from OQMD. Energies are from PBE-GGA.

Unit cell a=8.9186 b=4.3310 c=6.7791 alpha=90.00 beta=90.00 gamma=90.00
Positions (direct):
Sb 0.7013 0.7500 0.4144
Sb 0.2987 0.2500 0.5856
Sb 0.2013 0.7500 0.0856
Zn 0.4824 0.7500 0.6903
Al 0.8924 0.2500 0.5303
Zn 0.9824 0.7500 0.8097
Al 0.3924 0.2500 0.9697
Zn 0.5176 0.2500 0.3097
Zn 0.0176 0.2500 0.1903
Al 0.1076 0.7500 0.4697
Sb 0.7987 0.2500 0.9144
Al 0.6076 0.7500 0.0303

VASP energy = -0.1090 hartree per atom
relative energy among the computed polymorphs = 0 meV/atom
symmetry = No. 62

Record 5
Here is a geometry-optimized AlZnSb structure from OQMD. Energies are from PBE-GGA.

Unit cell a=5.9267 b=4.0987 c=10.1266 alpha=90.00 beta=90.00 gamma=90.00
Positions (direct):
Al 0.2435 0.7500 0.6139
Zn 0.0098 0.7500 0.2417
Sb 0.7513 0.7500 0.5894
Zn 0.9902 0.2500 0.7583
Zn 0.5098 0.7500 0.2583
Zn 0.4902 0.2500 0.7417
Al 0.7435 0.7500 0.8861
Sb 0.2513 0.7500 0.9106
Al 0.2565 0.2500 0.1139
Sb 0.2487 0.2500 0.4106
Al 0.7565 0.2500 0.3861
Sb 0.7487 0.2500 0.0894

VASP energy = -0.1071 hartree per atom
relative energy among the computed polymorphs = 51 meV/atom
symmetry = No. 62

Record 6
Here is a geometry-optimized ZrAl2Sb structure from OQMD. Energies are from PBE-GGA.

Unit cell a=4.9235 b=4.9235 c=4.9235 alpha=60.00 beta=60.00 gamma=60.00
Positions (direct):
Al 0.2500 0.2500 0.2500
Al 0.0000 0.0000 0.0000
Sb 0.7500 0.7500 0.7500
Zr 0.5000 0.5000 0.5000

VASP energy = -0.1809 hartree per atom
symmetry = No. 216

Record 7
Here is a geometry-optimized TbScAl3Si2 structure from OQMD. Energies are from PBE-GGA.

Unit cell a=5.3680 b=5.3680 c=6.5213 alpha=99.47 beta=99.47 gamma=43.67
Positions (direct):
Si 0.0945 0.0945 0.1321
Sc 0.6177 0.6177 0.8194
Si 0.9050 0.9050 0.8569
Al 0.0042 0.0042 0.5053
Tb 0.3812 0.3812 0.1766
Al 0.6943 0.6943 0.3709
Al 0.3032 0.3032 0.6387

VASP energy = -0.1927 hartree per atom
symmetry = No. 8

Record 8
Here is a geometry-optimized TmScAl3Si2 structure from OQMD. Energies are from PBE-GGA.

Unit cell a=5.3138 b=5.3138 c=6.4810 alpha=99.06 beta=99.06 gamma=43.82
Positions (direct):
Si 0.9041 0.9041 0.8593
Sc 0.6175 0.6175 0.8197
Al 0.0031 0.0031 0.5041
Si 0.0952 0.0952 0.1329
Al 0.6951 0.6951 0.3694
Tm 0.3820 0.3820 0.1767
Al 0.3030 0.3030 0.6379

VASP energy = -0.1916 hartree per atom
symmetry = No. 8